[1]
Below is a relaxed structure of La4BiSbH, with properties calculated at the PBE level.

```
La4BiSbH
1.0
6.633 0.000 0.000
0.000 6.632 0.000
-3.316 0.000 9.221
H Sb La Bi
2 2 8 2
Direct
0.295 0.750 0.589
0.705 0.250 0.411
0.112 0.250 0.225
0.888 0.750 0.775
0.000 0.500 0.500
0.930 0.250 0.860
0.500 0.500 0.500
0.572 0.250 0.145
0.070 0.750 0.140
0.500 0.000 0.500
0.000 0.000 0.500
0.428 0.750 0.855
0.388 0.250 0.777
0.612 0.750 0.223
```

## Properties
* energy: -5.2838 eV per atom
* size of the total moment: 0.0 μB/f.u.
* space-group type: No. 63

=====

[2]
Below is a relaxed structure of La2ScBiH, with properties calculated at the PBE level.

```
La2ScBiH
1.0
-4.056 2.799 0.616
-2.503 -3.980 1.601
1.373 0.981 4.584
La Sc Bi H
2 1 1 1
Direct
0.500 0.000 0.000
0.000 0.500 0.000
0.000 0.000 0.500
0.500 0.500 0.500
0.000 0.000 0.000
```

## Properties
* energy: -5.1631 eV per atom
* size of the total moment: 0.0 μB/f.u.
* space-group type: No. 123

=====

[3]
Below is a relaxed structure of LaSc2BiH, with properties calculated at the PBE level.

```
LaSc2BiH
1.0
4.786 0.000 0.000
0.000 4.786 0.000
0.000 0.000 4.660
Sc H La Bi
2 1 1 1
Direct
0.000 0.500 0.000
0.500 0.000 0.000
0.000 0.000 0.000
0.000 0.000 0.500
0.500 0.500 0.500
```

## Properties
* energy: -5.3962 eV per atom
* size of the total moment: 0.0 μB/f.u.
* space-group type: No. 123

=====

[4]
Below is a relaxed structure of La2Sm2Bi2H, with properties calculated at the PBE level.

```
La2Sm2Bi2H
1.0
4.708 0.000 0.000
0.000 4.708 0.000
-2.354 -2.354 9.028
Sm Bi La H
2 2 2 1
Direct
0.000 0.500 0.000
0.500 0.000 0.000
0.366 0.366 0.732
0.634 0.634 0.268
0.178 0.178 0.356
0.822 0.822 0.644
0.000 0.000 0.000
```

## Properties
* energy: -5.0635 eV per atom
* size of the total moment: 1.2 μB/f.u.
* space-group type: No. 139

=====

[5]
Below is a relaxed structure of LaSn2BiH, with properties calculated at the PBE level.

```
LaSn2BiH
1.0
4.991 0.000 0.000
0.000 4.991 0.000
0.000 0.000 4.801
Sn Bi La H
2 1 1 1
Direct
0.000 0.500 0.000
0.500 0.000 0.000
0.500 0.500 0.500
0.000 0.000 0.500
0.000 0.000 0.000
```

## Properties
* energy: -4.3315 eV per atom
* size of the total moment: 0.0 μB/f.u.
* space-group type: No. 123

=====

[6]
Below is a relaxed structure of La4SnBiH, with properties calculated at the PBE level.

```
La4SnBiH
1.0
-4.749 -4.621 -0.790
4.675 -4.785 -0.116
1.703 1.433 9.565
La Bi H Sn
8 2 2 2
Direct
0.000 0.000 0.500
0.500 0.500 0.500
0.932 0.250 0.863
0.068 0.750 0.137
0.572 0.250 0.145
0.428 0.750 0.855
0.000 0.500 0.500
0.500 0.000 0.500
0.387 0.250 0.775
0.613 0.750 0.225
0.706 0.250 0.412
0.294 0.750 0.588
0.886 0.750 0.773
0.114 0.250 0.227
```

## Properties
* energy: -5.1436 eV per atom
* size of the total moment: 1.2 μB/f.u.
* space-group type: No. 63

=====

[7]
Below is a relaxed structure of Sr2LaBiH, with properties calculated at the PBE level.

```
Sr2LaBiH
1.0
5.331 0.000 0.000
0.000 5.331 0.000
0.000 0.000 5.127
La Sr Bi H
1 2 1 1
Direct
0.000 0.000 0.500
0.500 0.000 0.000
0.000 0.500 0.000
0.500 0.500 0.500
0.000 0.000 0.000
```

## Properties
* energy: -3.5181 eV per atom
* size of the total moment: 1.8 μB/f.u.
* space-group type: No. 123

=====

[8]
Below is a relaxed structure of SrLa2BiH, with properties calculated at the PBE level.

```
SrLa2BiH
1.0
5.036 0.000 0.000
0.000 5.036 0.000
0.000 0.000 5.448
H La Sr Bi
1 2 1 1
Direct
0.000 0.000 0.000
0.500 0.000 0.000
0.000 0.500 0.000
0.000 0.000 0.500
0.500 0.500 0.500
```

## Properties
* energy: -4.2209 eV per atom
* size of the total moment: 0.0 μB/f.u.
* space-group type: No. 123

=====

Copy entry 7 word for word.
Below is a relaxed structure of Sr2LaBiH, with properties calculated at the PBE level.

```
Sr2LaBiH
1.0
5.331 0.000 0.000
0.000 5.331 0.000
0.000 0.000 5.127
La Sr Bi H
1 2 1 1
Direct
0.000 0.000 0.500
0.500 0.000 0.000
0.000 0.500 0.000
0.500 0.500 0.500
0.000 0.000 0.000
```

## Properties
* energy: -3.5181 eV per atom
* size of the total moment: 1.8 μB/f.u.
* space-group type: No. 123